[1]
Density functional theory data (PBE) for a geometry-optimized Pr3CoCu structure.

a = 6.2952 Å, b = 6.2952 Å, c = 8.0319 Å
α = 109.01°, β = 109.01°, γ = 62.09°
With the nearest neighbours (Å) after each atom.
Element x y z (fractional)
Pr (0.0065, 0.0065, 0.2310)  2 Co 2.78, 2 Cu 2.95
Pr (0.3080, 0.3080, 0.6632)  2 Co 2.95, 2 Cu 3.11
Pr (0.3099, 0.3099, 0.1458)  2 Co 2.96, 2 Cu 3.07
Pr (0.6901, 0.6901, 0.8542)  2 Co 2.96, 2 Cu 3.07
Pr (0.6920, 0.6920, 0.3368)  2 Co 2.95, 2 Cu 3.11
Pr (0.9935, 0.9935, 0.7690)  2 Co 2.78, 2 Cu 2.95
Co (0.3217, 0.6783, 0.0000)  1 Co 2.32
Co (0.6783, 0.3217, 0.0000)  1 Co 2.32
Cu (0.3057, 0.6943, 0.5000)  1 Cu 2.52
Cu (0.6943, 0.3057, 0.5000)  1 Cu 2.52

Values from the calculation:
**Symmetry**: C2/m
**Energy of formation from the pure elements**: -62.5 meV/atom
**Offset from the most stable computed form**: 0.000 eV per atom
**ρ**: 6.960 Mg/m³

***

[2]
Density functional theory data (PBE) for a geometry-optimized Pr6Co2Cu structure.

a = 8.5834 Å, b = 8.5834 Å, c = 8.5834 Å
α = 111.67°, β = 108.95°, γ = 107.82°
With the nearest neighbours (Å) after each atom.
Element x y z (fractional)
Pr (0.0433, 0.2335, 0.8098)  1 Co 2.77, 1 Cu 3.03
Pr (0.1776, 0.2796, 0.4572)  3 Co 2.99-3.12, 1 Cu 3.23
Pr (0.1776, 0.7204, 0.8980)  3 Co 2.99-3.12, 1 Cu 3.23
Pr (0.3257, 0.0110, 0.6853)  3 Co 2.80-3.00
Pr (0.3257, 0.6404, 0.3147)  3 Co 2.80-3.00
Pr (0.4238, 0.2335, 0.1902)  1 Co 2.77, 1 Cu 3.03
Pr (0.5762, 0.7665, 0.8098)  1 Co 2.77, 1 Cu 3.03
Pr (0.6743, 0.3596, 0.6853)  3 Co 2.80-3.00
Pr (0.6743, 0.9890, 0.3147)  3 Co 2.80-3.00
Pr (0.8224, 0.2796, 0.1020)  3 Co 2.99-3.12, 1 Cu 3.23
Pr (0.8224, 0.7204, 0.5428)  3 Co 2.99-3.12, 1 Cu 3.23
Pr (0.9567, 0.7665, 0.1902)  1 Co 2.77, 1 Cu 3.03
Co (0.1130, 0.6130, 0.5000)  1 Co 2.28
Co (0.3347, 0.0000, 0.3347)  6 Pr 2.77-3.00
Co (0.6653, 0.0000, 0.6653)  6 Pr 2.77-3.00
Co (0.8870, 0.3870, 0.5000)  1 Co 2.28
Cu (0.0000, 0.0000, 0.0000)  8 Pr 3.03-3.23, 2 Co 3.34
Cu (0.5000, 0.5000, 0.0000)  8 Pr 3.30-3.51

Values from the calculation:
**Symmetry**: Immm
**Energy of formation from the pure elements**: -51.8 meV/atom
**ρ**: 7.014 Mg/m³

***

[3]
Density functional theory data (PBE) for a geometry-optimized Pr2CoCu structure.

a = 5.7753 Å, b = 4.3024 Å, c = 7.9061 Å
α = 90.00°, β = 110.41°, γ = 90.00°
With the nearest neighbours (Å) after each atom.
Element x y z (fractional)
Pr (0.2185, 0.2500, 0.4372)  3 Cu 2.96-3.06, 4 Co 3.00-3.17
Pr (0.2266, 0.2500, 0.9240)  4 Cu 2.95-3.19, 3 Co 2.97-2.98
Pr (0.7734, 0.7500, 0.0760)  4 Cu 2.95-3.19, 3 Co 2.97-2.98
Pr (0.7815, 0.7500, 0.5628)  3 Cu 2.96-3.06, 4 Co 3.00-3.17
Co (0.3667, 0.7500, 0.7191)  2 Cu 2.60
Co (0.6333, 0.2500, 0.2809)  2 Cu 2.60
Cu (0.3623, 0.7500, 0.2160)  2 Co 2.60
Cu (0.6377, 0.2500, 0.7840)  2 Co 2.60

Values from the calculation:
**Symmetry**: P2_1/m
**Energy of formation from the pure elements**: -98.0 meV/atom
**ρ**: 7.293 Mg/m³

***

[4]
Density functional theory data (PBE) for a geometry-optimized Pr5Co2Cu structure.

a = 8.7024 Å, b = 8.7024 Å, c = 8.7024 Å
α = 126.55°, β = 126.55°, γ = 78.99°
With the nearest neighbours (Å) after each atom.
Element x y z (fractional)
Pr (0.0000, 0.0000, 0.0000)  4 Co 3.08, 2 Cu 3.36
Pr (0.0278, 0.5278, 0.8280)  3 Co 2.94
Pr (0.1998, 0.0278, 0.5000)  3 Co 2.94
Pr (0.3002, 0.8002, 0.8280)  3 Co 2.94
Pr (0.4722, 0.3002, 0.5000)  3 Co 2.94
Pr (0.5000, 0.5000, 0.0000)  4 Co 3.08, 2 Cu 3.36
Pr (0.5278, 0.6998, 0.5000)  3 Co 2.94
Pr (0.6998, 0.1998, 0.1720)  3 Co 2.94
Pr (0.8002, 0.9722, 0.5000)  3 Co 2.94
Pr (0.9722, 0.4722, 0.1720)  3 Co 2.94
Co (0.1279, 0.3721, 0.5000)  1 Co 2.83, 8 Pr 2.94-3.08
Co (0.3721, 0.8721, 0.2442)  1 Co 2.83, 8 Pr 2.94-3.08
Co (0.6279, 0.1279, 0.7558)  1 Co 2.83, 8 Pr 2.94-3.08
Co (0.8721, 0.6279, 0.5000)  1 Co 2.83, 8 Pr 2.94-3.08
Cu (0.2500, 0.2500, 0.0000)  10 Pr 3.30-3.36
Cu (0.7500, 0.7500, 0.0000)  10 Pr 3.30-3.36

Values from the calculation:
**Symmetry**: I4/mcm
**Energy of formation from the pure elements**: -38.3 meV/atom
**ρ**: 7.151 Mg/m³

***

[5]
Density functional theory data (PBE) for a geometry-optimized Pr2Co15Cu2 structure.

a = 6.3455 Å, b = 6.3455 Å, c = 6.3455 Å
α = 83.65°, β = 83.65°, γ = 83.65°
With the nearest neighbours (Å) after each atom.
Element x y z (fractional)
Pr (0.1562, 0.1562, 0.1562)  1 Cu 2.96, 18 Co 3.02-3.26
Pr (0.8438, 0.8438, 0.8438)  1 Cu 2.96, 18 Co 3.02-3.26
Co (0.0000, 0.5000, 0.5000)  8 Co 2.38-2.44, 2 Cu 2.57
Co (0.1556, 0.1556, 0.6520)  8 Co 2.44-2.62, 1 Cu 2.61
Co (0.1556, 0.6520, 0.1556)  8 Co 2.44-2.62, 1 Cu 2.61
Co (0.2158, 0.5000, 0.7842)  8 Co 2.38-2.62
Co (0.2158, 0.7842, 0.5000)  8 Co 2.38-2.62
Co (0.3480, 0.8444, 0.8444)  8 Co 2.44-2.62, 1 Cu 2.61
Co (0.5000, 0.0000, 0.5000)  8 Co 2.38-2.44, 2 Cu 2.57
Co (0.5000, 0.2158, 0.7842)  8 Co 2.38-2.62
Co (0.5000, 0.5000, 0.0000)  8 Co 2.38-2.44, 2 Cu 2.57
Co (0.5000, 0.7842, 0.2158)  8 Co 2.38-2.62
Co (0.6520, 0.1556, 0.1556)  8 Co 2.44-2.62, 1 Cu 2.61
Co (0.7842, 0.2158, 0.5000)  8 Co 2.38-2.62
Co (0.7842, 0.5000, 0.2158)  8 Co 2.38-2.62
Co (0.8444, 0.3480, 0.8444)  8 Co 2.44-2.62, 1 Cu 2.61
Co (0.8444, 0.8444, 0.3480)  8 Co 2.44-2.62, 1 Cu 2.61
Cu (0.4002, 0.4002, 0.4002)  1 Cu 2.43, 12 Co 2.57-2.69
Cu (0.5998, 0.5998, 0.5998)  1 Cu 2.43, 12 Co 2.57-2.69

Values from the calculation:
**Symmetry**: R-3m
**Energy of formation from the pure elements**: -11.3 meV/atom
**ρ**: 8.549 Mg/m³

***

[6]
Density functional theory data (PBE) for a geometry-optimized Pr3CoCu structure.

a = 8.3380 Å, b = 8.3380 Å, c = 8.4052 Å
α = 95.58°, β = 95.58°, γ = 26.80°
With the nearest neighbours (Å) after each atom.
Element x y z (fractional)
Pr (0.0000, 0.0000, 0.0000)  3 Co 2.89-3.08, 2 Cu 3.22
Pr (0.1657, 0.1657, 0.3571)  3 Co 2.85-2.89, 1 Cu 3.08
Pr (0.3663, 0.3663, 0.2546)  3 Co 2.85-2.88, 1 Cu 3.09
Pr (0.5322, 0.5322, 0.6124)  3 Co 2.89-3.07, 2 Cu 3.22
Pr (0.7060, 0.7060, 0.9896)  4 Cu 2.94-3.18
Pr (0.8262, 0.8262, 0.6220)  4 Cu 2.93-3.18
Co (0.5437, 0.5437, 0.2498)  2 Co 2.37
Co (0.9881, 0.9881, 0.3630)  2 Co 2.37
Cu (0.1855, 0.1855, 0.7257)  1 Cu 2.82, 3 Pr 2.94-3.08
Cu (0.3470, 0.3470, 0.8856)  1 Cu 2.82, 3 Pr 2.93-3.09

Values from the calculation:
**Symmetry**: Cm
**Energy of formation from the pure elements**: -59.8 meV/atom
**Offset from the most stable computed form**: 0.003 eV per atom
**ρ**: 6.908 Mg/m³

***

[7]
Density functional theory data (PBE) for a geometry-optimized Pr2CoCu structure.

a = 5.0228 Å, b = 5.0228 Å, c = 5.0228 Å
α = 60.00°, β = 60.00°, γ = 60.00°
With the nearest neighbours (Å) after each atom.
Element x y z (fractional)
Pr (0.2500, 0.2500, 0.2500)  4 Co 3.08, 4 Cu 3.08
Pr (0.7500, 0.7500, 0.7500)  4 Co 3.08, 4 Cu 3.08
Co (0.0000, 0.0000, 0.0000)  8 Pr 3.08
Cu (0.5000, 0.5000, 0.5000)  8 Pr 3.08

Values from the calculation:
**Symmetry**: Fm-3m
**Energy of formation from the pure elements**: -10.0 meV/atom
**ρ**: 7.492 Mg/m³

***

[8]
Density functional theory data (PBE) for a geometry-optimized Pr2Co2Cu structure.

a = 5.4085 Å, b = 5.4085 Å, c = 7.9066 Å
α = 103.03°, β = 103.03°, γ = 60.76°
With the nearest neighbours (Å) after each atom.
Element x y z (fractional)
Pr (0.0042, 0.7030, 0.8528)  6 Co 2.87-3.08, 2 Cu 3.17-3.19
Pr (0.2970, 0.9958, 0.6472)  6 Co 2.87-3.08, 2 Cu 3.17-3.19
Pr (0.7030, 0.0042, 0.3528)  6 Co 2.87-3.08, 2 Cu 3.17-3.19
Pr (0.9958, 0.2970, 0.1472)  6 Co 2.87-3.08, 2 Cu 3.17-3.19
Co (0.2136, 0.5037, 0.4913)  1 Co 2.37, 2 Cu 2.59-2.61
Co (0.4963, 0.7864, 0.0087)  1 Co 2.37, 2 Cu 2.59-2.61
Co (0.5037, 0.2136, 0.9913)  1 Co 2.37, 2 Cu 2.59-2.61
Co (0.7864, 0.4963, 0.5087)  1 Co 2.37, 2 Cu 2.59-2.61
Cu (0.3679, 0.6321, 0.2500)  4 Co 2.59-2.61
Cu (0.6321, 0.3679, 0.7500)  4 Co 2.59-2.61

Values from the calculation:
**Symmetry**: C2/c
**Energy of formation from the pure elements**: -31.0 meV/atom
**ρ**: 7.897 Mg/m³

***

[9]
Density functional theory data (PBE) for a geometry-optimized Pr4Co2Cu structure.

a = 5.6621 Å, b = 5.6621 Å, c = 18.3640 Å
α = 90.00°, β = 90.00°, γ = 139.05°
With the nearest neighbours (Å) after each atom.
Element x y z (fractional)
Pr (0.0000, 0.0000, 0.0000)  6 Co 3.01-3.08
Pr (0.0000, 0.0000, 0.5000)  6 Co 3.01-3.08
Pr (0.2881, 0.7119, 0.6340)  3 Co 2.88-2.94, 2 Cu 3.03
Pr (0.2881, 0.7119, 0.8660)  3 Co 2.88-2.94, 2 Cu 3.03
Pr (0.4280, 0.5720, 0.2500)  3 Cu 2.94-3.13
Pr (0.5720, 0.4280, 0.7500)  3 Cu 2.94-3.13
Pr (0.7119, 0.2881, 0.1340)  3 Co 2.88-2.94, 2 Cu 3.03
Pr (0.7119, 0.2881, 0.3660)  3 Co 2.88-2.94, 2 Cu 3.03
Co (0.2812, 0.7188, 0.0227)  2 Co 2.25
Co (0.2812, 0.7188, 0.4773)  2 Co 2.25
Co (0.7188, 0.2812, 0.5227)  2 Co 2.25
Co (0.7188, 0.2812, 0.9773)  2 Co 2.25
Cu (0.1332, 0.8668, 0.2500)  7 Pr 2.94-3.13
Cu (0.8668, 0.1332, 0.7500)  7 Pr 2.94-3.13

Values from the calculation:
**Symmetry**: Cmcm
**Energy of formation from the pure elements**: 70.3 meV/atom
**ρ**: 6.413 Mg/m³

***

[10]
Density functional theory data (PBE) for a geometry-optimized Pr2Co16Cu structure.

a = 6.3379 Å, b = 6.3379 Å, c = 6.3379 Å
α = 83.38°, β = 83.38°, γ = 83.38°
With the nearest neighbours (Å) after each atom.
Element x y z (fractional)
Pr (0.0000, 0.0000, 0.0000)  1 Cu 2.98, 18 Co 3.04-3.27
Pr (0.3128, 0.3128, 0.3128)  19 Co 2.94-3.23
Co (0.0011, 0.0011, 0.5047)  8 Co 2.45-2.62, 1 Cu 2.61
Co (0.0011, 0.5047, 0.0011)  8 Co 2.45-2.62, 1 Cu 2.61
Co (0.1606, 0.6544, 0.6544)  9 Co 2.38-2.53, 1 Cu 2.60
Co (0.3144, 0.3144, 0.8072)  9 Co 2.41-2.63
Co (0.3144, 0.8072, 0.3144)  9 Co 2.41-2.63
Co (0.3734, 0.6566, 0.9403)  8 Co 2.38-2.63
Co (0.3734, 0.9403, 0.6566)  8 Co 2.38-2.63
Co (0.5047, 0.0011, 0.0011)  8 Co 2.45-2.62, 1 Cu 2.61
Co (0.5542, 0.5542, 0.5542)  1 Cu 2.45, 12 Co 2.53-2.70
Co (0.6544, 0.1606, 0.6544)  9 Co 2.38-2.53, 1 Cu 2.60
Co (0.6544, 0.6544, 0.1606)  9 Co 2.38-2.53, 1 Cu 2.60
Co (0.6566, 0.3734, 0.9403)  8 Co 2.38-2.63
Co (0.6566, 0.9403, 0.3734)  8 Co 2.38-2.63
Co (0.8072, 0.3144, 0.3144)  9 Co 2.41-2.63
Co (0.9403, 0.3734, 0.6566)  8 Co 2.38-2.63
Co (0.9403, 0.6566, 0.3734)  8 Co 2.38-2.63
Cu (0.7551, 0.7551, 0.7551)  13 Co 2.45-2.67

Values from the calculation:
**Symmetry**: R3m
**Energy of formation from the pure elements**: -20.7 meV/atom
**ρ**: 8.562 Mg/m³

***

[11]
Density functional theory data (PBE) for a geometry-optimized Pr12Co6Cu structure.

a = 8.6903 Å, b = 8.6903 Å, c = 8.6903 Å
α = 109.47°, β = 109.47°, γ = 109.47°
With the nearest neighbours (Å) after each atom.
Element x y z (fractional)
Pr (0.1120, 0.8071, 0.3049)  3 Co 2.77-2.97
Pr (0.1929, 0.3049, 0.4978)  3 Co 2.77-2.97
Pr (0.1929, 0.6951, 0.8880)  3 Co 2.77-2.97
Pr (0.3049, 0.1120, 0.8071)  3 Co 2.77-2.97
Pr (0.3049, 0.4978, 0.1929)  3 Co 2.77-2.97
Pr (0.4978, 0.1929, 0.3049)  3 Co 2.77-2.97
Pr (0.5022, 0.8071, 0.6951)  3 Co 2.77-2.97
Pr (0.6951, 0.5022, 0.8071)  3 Co 2.77-2.97
Pr (0.6951, 0.8880, 0.1929)  3 Co 2.77-2.97
Pr (0.8071, 0.3049, 0.1120)  3 Co 2.77-2.97
Pr (0.8071, 0.6951, 0.5022)  3 Co 2.77-2.97
Pr (0.8880, 0.1929, 0.6951)  3 Co 2.77-2.97
Co (0.1117, 0.6117, 0.5000)  1 Co 2.24
Co (0.3883, 0.5000, 0.8883)  1 Co 2.24
Co (0.5000, 0.1117, 0.6117)  1 Co 2.24
Co (0.5000, 0.8883, 0.3883)  1 Co 2.24
Co (0.6117, 0.5000, 0.1117)  1 Co 2.24
Co (0.8883, 0.3883, 0.5000)  1 Co 2.24
Cu (0.0000, 0.0000, 0.0000)  12 Pr 3.62

Values from the calculation:
**Symmetry**: Im-3
**Energy of formation from the pure elements**: -41.8 meV/atom
**ρ**: 6.929 Mg/m³

***

[12]
Density functional theory data (PBE) for a geometry-optimized Pr2Co5Cu5 structure.

a = 4.0569 Å, b = 5.1113 Å, c = 8.6284 Å
α = 90.00°, β = 90.00°, γ = 90.00°
With the nearest neighbours (Å) after each atom.
Element x y z (fractional)
Pr (0.0000, 0.0000, 0.0000)  6 Co 2.87-2.92
Pr (0.0000, 0.5000, 0.5000)  6 Co 2.91-3.02, 8 Cu 3.23
Co (0.0000, 0.0000, 0.3388)  6 Cu 2.46-2.52
Co (0.0000, 0.0000, 0.6612)  6 Cu 2.46-2.52
Co (0.0000, 0.5000, 0.1503)  3 Co 2.41-2.59, 4 Cu 2.54
Co (0.0000, 0.5000, 0.8497)  3 Co 2.41-2.59, 4 Cu 2.54
Co (0.5000, 0.5000, 0.0000)  4 Co 2.41, 4 Cu 2.49
Cu (0.5000, 0.0000, 0.5000)  4 Co 2.46, 4 Cu 2.52
Cu (0.5000, 0.2502, 0.2484)  5 Co 2.49-2.54, 3 Cu 2.52-2.56
Cu (0.5000, 0.2502, 0.7516)  5 Co 2.49-2.54, 3 Cu 2.52-2.56
Cu (0.5000, 0.7498, 0.2484)  5 Co 2.49-2.54, 3 Cu 2.52-2.56
Cu (0.5000, 0.7498, 0.7516)  5 Co 2.49-2.54, 3 Cu 2.52-2.56

Values from the calculation:
**Symmetry**: Pmmm
**Energy of formation from the pure elements**: -7.3 meV/atom
**ρ**: 8.299 Mg/m³

***

no.,magnetization (μB/f.u.),DOS at the Fermi energy (states/eV per cell)
1,0.0,9.39
2,0.0,17.41
3,0.0,5.83
4,0.0,20.31
5,21.8,23.52
6,0.2,12.89
7,0.3,4.45
8,0.3,9.40
9,1.2,15.99
10,23.2,22.29
11,0.0,15.78
12,5.4,12.27